Crystalline TbMgAgGe at its relaxed geometry, computed with PBE.

```
data_TbMgAgGe
_space_group_name_H-M_alt 'F -4 3 m'
_space_group_IT_number 216
_space_group_name_Hall 'F -4 2 3'
_cell_length_a 6.971
_cell_length_b 6.971
_cell_length_c 6.971
_cell_angle_alpha 90.00
_cell_angle_beta 90.00
_cell_angle_gamma 90.00
loop_
_atom_site_label
_atom_site_type_symbol
_atom_site_fract_x
_atom_site_fract_y
_atom_site_fract_z
Tb1 Tb 0.000 0.000 0.000
Mg1 Mg 0.000 0.000 0.500
Ag1 Ag 0.250 0.250 0.750
Ge1 Ge 0.250 0.250 0.250
```



Crystalline Y3ZrRu4 at its relaxed geometry, computed with PBE.

```
data_Y3ZrRu4
_space_group_name_H-M_alt 'P 4/m m m'
_space_group_IT_number 123
_space_group_name_Hall '-P 4 2'
_cell_length_a 3.362
_cell_length_b 3.362
_cell_length_c 13.595
_cell_angle_alpha 90.00
_cell_angle_beta 90.00
_cell_angle_gamma 90.00
loop_
_atom_site_label
_atom_site_type_symbol
_atom_site_fract_x
_atom_site_fract_y
_atom_site_fract_z
Y1 Y 0.000 0.000 0.000
Y2 Y 0.000 0.000 0.252
Zr1 Zr 0.000 0.000 0.500
Ru1 Ru 0.500 0.500 0.128
Ru2 Ru 0.500 0.500 0.386
```



One value per record, in order, for energy of formation: -419, -388 meV per atom.